(1)
Below is a relaxed structure of PrMgSiHg, with properties calculated at the PBE-GGA level.

POSCAR file:
```
PrMgSiHg
1.0
-3.708 3.303 -1.141
-2.927 -0.772 -4.099
-4.880 -1.351 0.572
Si Hg Pr Mg
1 1 1 1
direct
0.500 0.500 0.500
0.000 0.000 0.000
0.250 0.250 0.250
0.750 0.750 0.750
```

Results
* DFT total energy: -13.22 eV/cell
* calculated volume: 23.392 Å³ per atom
* energy relative to the elements, uncorrected: -107.9 kJ/mol of formula units
* calculated density: 6.99 g/cm3
* crystal system: cubic


(2)
Below is a relaxed structure of ReRuRh2, with properties calculated at the PBE-GGA level.

POSCAR file:
```
ReRuRh2
1.0
-5.158 2.077 -1.326
-1.942 -5.319 -0.780
-4.912 -1.848 3.890
Ru Re Rh
2 2 4
direct
0.500 0.500 0.000
0.250 0.750 0.500
0.750 0.250 0.500
0.000 0.000 0.000
0.625 0.125 0.250
0.875 0.875 0.750
0.375 0.375 0.750
0.125 0.625 0.250
```

Results
* formation energy: 1.201 eV per atom
* DFT total energy: -63.25 eV/cell
* calculated volume: 20.960 Å³ per atom
* calculated density: 9.77 g/cm3
* crystal system: tetragonal
* energy relative to the lowest polymorph listed for this composition: 1282.9 meV/atom


(3)
Below is a relaxed structure of FeP2Pb, with properties calculated at the PBE-GGA level.

POSCAR file:
```
FeP2Pb
1.0
3.790 0.006 0.027
2.297 3.015 0.027
1.342 0.666 6.248
P Pb Fe
2 1 1
direct
0.974 0.974 0.111
0.526 0.526 0.389
0.750 0.750 0.750
0.250 0.250 0.250
```

Results
* formation energy: 0.022 eV per atom
* DFT total energy: -22.90 eV/cell
* calculated volume: 17.797 Å³ per atom
* calculated density: 7.58 g/cm3
* crystal system: monoclinic


(4)
Below is a relaxed structure of Sn3AsSCl, with properties calculated at the PBE-GGA level.

POSCAR file:
```
Sn3AsSCl
1.0
4.217 0.000 0.000
0.000 9.181 0.483
0.000 -1.791 8.485
As Sn Cl S
2 6 2 2
direct
0.250 0.675 0.068
0.750 0.325 0.932
0.750 0.863 0.022
0.750 0.509 0.214
0.250 0.804 0.434
0.250 0.137 0.978
0.750 0.196 0.566
0.250 0.491 0.786
0.750 0.680 0.687
0.250 0.320 0.313
0.750 0.952 0.335
0.250 0.048 0.665
```

Results
* DFT total energy: -49.87 eV/cell
* calculated volume: 27.677 Å³ per atom
* energy relative to the elements, uncorrected: -222.3 kJ/mol of formula units
* calculated density: 4.99 g/cm3
* crystal system: monoclinic


no.,total magnetic moment (μB/f.u.)
1,0.00
2,0.00
3,0.00
4,0.00